Material: HfHgGe2W
Method: DFT, GGA-PBE
State: optimized geometry

As for the electronic total energy: -24.622 eV per cell. Its spin magnetization is 0.7222 μB per atom. For the volume, the calculation gives 27.388 Å³/atom. The value obtained for the theoretical density is 8.6 g/cm3.

Structure (CIF):
```
data_HfHgGe2W
_cell_length_a 5.064
_cell_length_b 5.064
_cell_length_c 5.340
_cell_angle_alpha 90.00
_cell_angle_beta 90.00
_cell_angle_gamma 90.00
_symmetry_space_group_name_H-M 'P 4/m m m'
_symmetry_Int_Tables_number 123
_symmetry_space_group_name_Hall '-P 4 2'
loop_
_atom_site_label
_atom_site_type_symbol
_atom_site_fract_x
_atom_site_fract_y
_atom_site_fract_z
Hf1 Hf 0.000 0.000 0.000
Hg1 Hg 0.000 0.000 0.500
Ge1 Ge 0.000 0.500 0.000
W1 W 0.500 0.500 0.500
```

Material: Nb2SbTe2
Method: DFT, GGA-PBE
State: optimized geometry

The formation energy without anion corrections is 0.2185 eV/atom. Its spin magnetization is 0.0001 μB per atom. For the volume, the calculation gives 25.397 Å³/atom. The value obtained for the theoretical density is 7.4 g/cm3.

Structure (CIF):
```
data_Nb2SbTe2
_cell_length_a 4.987
_cell_length_b 4.987
_cell_length_c 10.213
_cell_angle_alpha 90.00
_cell_angle_beta 90.00
_cell_angle_gamma 90.00
_symmetry_space_group_name_H-M 'I 4/m m m'
_symmetry_Int_Tables_number 139
_symmetry_space_group_name_Hall '-I 4 2'
loop_
_atom_site_label
_atom_site_type_symbol
_atom_site_fract_x
_atom_site_fract_y
_atom_site_fract_z
Nb1 Nb 0.000 0.500 0.250
Sb1 Sb 0.000 0.000 0.000
Te1 Te 0.000 0.000 0.357
```

Material: ZrCu
Method: DFT, GGA-PBE
State: optimized geometry

As for the electronic total energy: -76.119 eV per cell. Its spin magnetization is 0.0000 μB per atom. For the volume, the calculation gives 17.943 Å³/atom. The value obtained for the theoretical density is 7.2 g/cm3.

Structure (CIF):
```
data_ZrCu
_cell_length_a 10.954
_cell_length_b 3.288
_cell_length_c 6.212
_cell_angle_alpha 90.00
_cell_angle_beta 105.78
_cell_angle_gamma 90.00
_symmetry_space_group_name_H-M 'C 1 2/m 1'
_symmetry_Int_Tables_number 12
loop_
_symmetry_equiv_pos_as_xyz
'x,y,z'
'-x,-y,-z'
'-x,y,-z'
'x,-y,z'
'x+1/2,y+1/2,z'
'-x+1/2,-y+1/2,-z'
'-x+1/2,y+1/2,-z'
'x+1/2,-y+1/2,z'
loop_
_atom_site_label
_atom_site_type_symbol
_atom_site_fract_x
_atom_site_fract_y
_atom_site_fract_z
Zr1 Zr 0.000 0.000 0.000
Zr2 Zr 0.186 0.500 0.791
Cu1 Cu 0.000 0.000 0.500
Cu2 Cu 0.134 0.500 0.334
```

Material: AgSb2Pb2Au7
Method: DFT, GGA-PBE
State: optimized geometry

The formation energy without anion corrections is -0.0149 eV/atom. Its spin magnetization is 0.0000 μB per atom. For the volume, the calculation gives 24.529 Å³/atom. The value obtained for the theoretical density is 12.1 g/cm3.

Structure (CIF):
```
data_AgSb2Pb2Au7
_cell_length_a 5.990
_cell_length_b 5.988
_cell_length_c 16.660
_cell_angle_alpha 90.00
_cell_angle_beta 99.88
_cell_angle_gamma 90.00
_symmetry_space_group_name_H-M 'C 1 2/m 1'
_symmetry_Int_Tables_number 12
loop_
_symmetry_equiv_pos_as_xyz
'x,y,z'
'-x,-y,-z'
'-x,y,-z'
'x,-y,z'
'x+1/2,y+1/2,z'
'-x+1/2,-y+1/2,-z'
'-x+1/2,y+1/2,-z'
'x+1/2,-y+1/2,z'
loop_
_atom_site_label
_atom_site_type_symbol
_atom_site_fract_x
_atom_site_fract_y
_atom_site_fract_z
Ag1 Ag 0.000 0.000 0.000
Sb1 Sb 0.110 0.500 0.232
Pb1 Pb 0.211 0.000 0.424
Au1 Au 0.000 0.500 0.000
Au2 Au 0.190 0.250 0.875
Au3 Au 0.200 0.500 0.400
```

Material: DyEr8In6
Method: DFT, GGA-PBE
State: optimized geometry

As for the electronic total energy: -181.531 eV per cell. Its spin magnetization is 0.0000 μB per atom. For the volume, the calculation gives 29.949 Å³/atom. The value obtained for the theoretical density is 8.1 g/cm3.

Structure (CIF):
```
data_DyEr8In6
_cell_length_a 8.9657
_cell_length_b 8.9657
_cell_length_c 19.3595
_cell_angle_alpha 90.00
_cell_angle_beta 90.00
_cell_angle_gamma 120.00
_symmetry_space_group_name_H-M 'R -3'
_symmetry_Int_Tables_number 148
_symmetry_space_group_name_Hall '-R 3'
loop_
_atom_site_label
_atom_site_type_symbol
_atom_site_fract_x
_atom_site_fract_y
_atom_site_fract_z
Dy1 Dy 0.0000 0.0000 0.0000
Er1 Er 0.0000 0.0000 0.3333
Er2 Er 0.0004 0.3331 0.2205
In1 In 0.0002 0.3342 0.0601
```

Material: CdSi2F
Method: DFT, GGA-PBE
State: optimized geometry

The formation energy without anion corrections is 0.0283 eV/atom. Its spin magnetization is 0.0000 μB per atom. For the volume, the calculation gives 16.066 Å³/atom. The value obtained for the theoretical density is 4.8 g/cm3.

Structure (CIF):
```
data_CdSi2F
_cell_length_a 6.358
_cell_length_b 6.358
_cell_length_c 6.358
_cell_angle_alpha 90.00
_cell_angle_beta 90.00
_cell_angle_gamma 90.00
_symmetry_space_group_name_H-M 'F m -3 m'
_symmetry_Int_Tables_number 225
_symmetry_space_group_name_Hall '-F 4 2 3'
loop_
_atom_site_label
_atom_site_type_symbol
_atom_site_fract_x
_atom_site_fract_y
_atom_site_fract_z
Cd1 Cd 0.000 0.000 0.000
Si1 Si 0.250 0.250 0.250
F1 F 0.000 0.000 0.500
```

Material: Tl2TcRu
Method: DFT, GGA-PBE
State: optimized geometry

As for the electronic total energy: -21.298 eV per cell. Its spin magnetization is 0.4458 μB per atom. For the volume, the calculation gives 18.322 Å³/atom. The value obtained for the theoretical density is 13.8 g/cm3.

Structure (CIF):
```
data_Tl2TcRu
_cell_length_a 4.705
_cell_length_b 4.705
_cell_length_c 3.311
_cell_angle_alpha 90.00
_cell_angle_beta 90.00
_cell_angle_gamma 90.00
_symmetry_space_group_name_H-M 'P 4/m m m'
_symmetry_Int_Tables_number 123
_symmetry_space_group_name_Hall '-P 4 2'
loop_
_atom_site_label
_atom_site_type_symbol
_atom_site_fract_x
_atom_site_fract_y
_atom_site_fract_z
Tl1 Tl 0.000 0.500 0.000
Tc1 Tc 0.000 0.000 0.500
Ru1 Ru 0.500 0.500 0.500
```

Material: Si2TeAu
Method: DFT, GGA-PBE
State: optimized geometry

The formation energy without anion corrections is 0.2589 eV/atom. Its spin magnetization is 0.0000 μB per atom. For the volume, the calculation gives 20.537 Å³/atom. The value obtained for the theoretical density is 7.7 g/cm3.

Structure (CIF):
```
data_Si2TeAu
_cell_length_a 5.508
_cell_length_b 5.508
_cell_length_c 5.416
_cell_angle_alpha 90.00
_cell_angle_beta 90.00
_cell_angle_gamma 90.00
_symmetry_space_group_name_H-M 'I 4/m m m'
_symmetry_Int_Tables_number 139
_symmetry_space_group_name_Hall '-I 4 2'
loop_
_atom_site_label
_atom_site_type_symbol
_atom_site_fract_x
_atom_site_fract_y
_atom_site_fract_z
Si1 Si 0.000 0.500 0.000
Te1 Te 0.000 0.000 0.000
Au1 Au 0.000 0.000 0.500
```

Material: ScHRh2
Method: DFT, GGA-PBE
State: optimized geometry

As for the electronic total energy: -25.014 eV per cell. Its spin magnetization is 0.0000 μB per atom. For the volume, the calculation gives 13.106 Å³/atom. The value obtained for the theoretical density is 8.0 g/cm3.

Structure (CIF):
```
data_ScHRh2
_cell_length_a 2.985
_cell_length_b 2.985
_cell_length_c 5.885
_cell_angle_alpha 90.00
_cell_angle_beta 90.00
_cell_angle_gamma 90.00
_symmetry_space_group_name_H-M 'P 4/m m m'
_symmetry_Int_Tables_number 123
_symmetry_space_group_name_Hall '-P 4 2'
loop_
_atom_site_label
_atom_site_type_symbol
_atom_site_fract_x
_atom_site_fract_y
_atom_site_fract_z
Sc1 Sc 0.000 0.000 0.000
H1 H 0.000 0.000 0.500
Rh1 Rh 0.500 0.500 0.286
```

Material: HoCo6B4
Method: DFT, GGA-PBE
State: optimized geometry

As for the electronic total energy: -77.186 eV per cell. Its spin magnetization is 0.0001 μB per atom. For the volume, the calculation gives 9.650 Å³/atom. The value obtained for the theoretical density is 8.8 g/cm3.

Structure (CIF):
```
data_HoCo6B4
_cell_length_a 6.1315
_cell_length_b 6.1315
_cell_length_c 3.2604
_cell_angle_alpha 90.00
_cell_angle_beta 90.00
_cell_angle_gamma 120.00
_symmetry_space_group_name_H-M 'P -6 m 2'
_symmetry_Int_Tables_number 187
_symmetry_space_group_name_Hall 'P -6 2'
loop_
_atom_site_label
_atom_site_type_symbol
_atom_site_fract_x
_atom_site_fract_y
_atom_site_fract_z
Ho1 Ho 0.0000 0.0000 0.0000
Co1 Co 0.2032 0.4063 0.5000
Co2 Co 0.5350 0.0700 0.0000
B1 B 0.3333 0.6667 0.0000
B2 B 0.4205 0.2103 0.5000
```

Material: SmY3Au2
Method: DFT, GGA-PBE
State: optimized geometry

As for the electronic total energy: -68.873 eV per cell. Its spin magnetization is 0.0000 μB per atom. For the volume, the calculation gives 27.005 Å³/atom. The value obtained for the theoretical density is 8.3 g/cm3.

Structure (CIF):
```
data_SmY3Au2
_cell_length_a 5.004
_cell_length_b 9.027
_cell_length_c 7.174
_cell_angle_alpha 90.00
_cell_angle_beta 90.00
_cell_angle_gamma 90.00
_symmetry_space_group_name_H-M 'P m c 21'
_symmetry_Int_Tables_number 26
loop_
_symmetry_equiv_pos_as_xyz
'x,y,z'
'-x,-y,z+1/2'
'-x,y,z'
'x,-y,z+1/2'
loop_
_atom_site_label
_atom_site_type_symbol
_atom_site_fract_x
_atom_site_fract_y
_atom_site_fract_z
Sm1 Sm 0.000 0.076 0.000
Y1 Y 0.000 0.332 0.636
Y2 Y 0.500 0.168 0.339
Y3 Y 0.500 0.428 0.975
Au1 Au 0.000 0.351 0.232
Au2 Au 0.500 0.155 0.745
```

Material: LiGeAu2
Method: DFT, GGA-PBE
State: optimized geometry

As for the electronic total energy: -14.146 eV per cell. Its spin magnetization is 0.0000 μB per atom. For the volume, the calculation gives 17.001 Å³/atom. The value obtained for the theoretical density is 11.6 g/cm3.

Structure (CIF):
```
data_LiGeAu2
_cell_length_a 3.393
_cell_length_b 3.393
_cell_length_c 5.907
_cell_angle_alpha 90.00
_cell_angle_beta 90.00
_cell_angle_gamma 90.00
_symmetry_space_group_name_H-M 'P 4/m m m'
_symmetry_Int_Tables_number 123
_symmetry_space_group_name_Hall '-P 4 2'
loop_
_atom_site_label
_atom_site_type_symbol
_atom_site_fract_x
_atom_site_fract_y
_atom_site_fract_z
Li1 Li 0.000 0.000 0.000
Ge1 Ge 0.000 0.000 0.500
Au1 Au 0.500 0.500 0.239
```

Question: theoretical density of number 9 (ScHRh2)?
Answer: 8.0 g/cm3

Question: What is the spin magnetization in the fourth record?
Answer: 0.0000 μB per atom

Question: What is the spin magnetization in the seventh record?
Answer: 0.4458 μB per atom